(i)
ZrBAu3: optimized geometry, PBE.

It has space group Pm-3m (No. 221), with a = 5.282 Å, b = 5.282 Å, c = 5.282 Å, α = 90.00°, β = 90.00° and γ = 90.00°. The inequivalent atoms are Zr at (0.000, 0.000, 0.000), B at (0.500, 0.500, 0.500) and Au at (0.000, 0.000, 0.500).

As for the total moment: 0.00 μB per cell.

(ii)
ZrBAu3: optimized geometry, PBE.

It has space group Pm-3m (No. 221), with a = 4.429 Å, b = 4.429 Å, c = 4.429 Å, α = 90.00°, β = 90.00° and γ = 90.00°. The inequivalent atoms are Zr at (0.000, 0.000, 0.000), B at (0.500, 0.500, 0.500) and Au at (0.000, 0.500, 0.500).

As for the total moment: 0.52 μB per cell.

Of them, (i) has the lowest stability.

(i)
Ba2Au3: optimized geometry, PBE.

It has space group R-3c (No. 167, hexagonal axes), with a = 7.8351 Å, b = 7.8351 Å, c = 22.0869 Å, α = 90.00°, β = 90.00° and γ = 120.00°. The inequivalent atoms are Ba at (0.0000, 0.0000, 0.1175) and Au at (0.0000, 0.2141, 0.2500).

As for the total moment: 0.00 μB per cell.

(ii)
Ba2Au3: optimized geometry, PBE.

It has space group Fdd2 (No. 43), with a = 11.344 Å, b = 16.671 Å, c = 6.362 Å, α = 90.00°, β = 90.00° and γ = 90.00°. The inequivalent atoms are Ba at (0.081, 0.302, 0.000), Au at (0.000, 0.000, 0.316) and Au at (0.075, 0.376, 0.495).

As for the total moment: 0.00 μB per cell.

Of them, (i) has the lowest stability.

(i)
BaAu6: optimized geometry, PBE.

It has space group Im-3m (No. 229), with a = 7.531 Å, b = 7.531 Å, c = 7.531 Å, α = 90.00°, β = 90.00° and γ = 90.00°. The inequivalent atoms are Ba at (0.000, 0.000, 0.000) and Au at (0.000, 0.250, 0.500).

As for the total moment: 0.00 μB per cell.

(ii)
BaAu6: optimized geometry, PBE.

It has space group Pnma (No. 62), with a = 9.277 Å, b = 5.804 Å, c = 11.542 Å, α = 90.00°, β = 90.00° and γ = 90.00°. The inequivalent atoms are Ba at (0.238, 0.250, 0.062), Au at (0.062, 0.009, 0.307), Au at (0.069, 0.750, 0.092), Au at (0.102, 0.250, 0.518), Au at (0.152, 0.750, 0.859) and Au at (0.183, 0.250, 0.761).

As for the total moment: 0.00 μB per cell.

(iii)
BaAu6: optimized geometry, PBE.

It has space group Pm-3m (No. 221), with a = 6.464 Å, b = 6.464 Å, c = 6.464 Å, α = 90.00°, β = 90.00° and γ = 90.00°. The inequivalent atoms are Ba at (0.000, 0.000, 0.000) and Au at (0.196, 0.500, 0.500).

As for the total moment: 0.00 μB per cell.

Of them, (iii) has the lowest stability.

(i)
BaBe2Au: optimized geometry, PBE.

It has space group P4/mmm (No. 123), with a = 4.984 Å, b = 4.984 Å, c = 3.167 Å, α = 90.00°, β = 90.00° and γ = 90.00°. The inequivalent atoms are Ba at (0.000, 0.000, 0.000), Be at (0.000, 0.500, 0.500) and Au at (0.500, 0.500, 0.000).

As for the total moment: 0.00 μB per cell.

(ii)
BaBe2Au: optimized geometry, PBE.

It has space group Cm (No. 8), with a = 7.137 Å, b = 4.129 Å, c = 6.156 Å, α = 90.00°, β = 105.09° and γ = 90.00°. The inequivalent atoms are Ba at (0.000, 0.000, 0.000), Be at (0.017, 0.500, 0.513), Be at (0.338, 0.500, 0.476) and Au at (0.193, 0.000, 0.545).

As for the total moment: 0.00 μB per cell.

(iii)
BaBe2Au: optimized geometry, PBE.

It has space group Pmmm (No. 47), with a = 4.274 Å, b = 4.359 Å, c = 5.140 Å, α = 90.00°, β = 90.00° and γ = 90.00°. The inequivalent atoms are Ba at (0.000, 0.000, 0.000), Be at (0.500, 0.255, 0.500) and Au at (0.000, 0.500, 0.500).

As for the total moment: 0.00 μB per cell.

Of them, (i) has the lowest stability.

(i)
BaBe3Au: optimized geometry, PBE.

It has space group Pm-3m (No. 221), with a = 4.570 Å, b = 4.570 Å, c = 4.570 Å, α = 90.00°, β = 90.00° and γ = 90.00°. The inequivalent atoms are Ba at (0.000, 0.000, 0.000), Be at (0.000, 0.500, 0.500) and Au at (0.500, 0.500, 0.500).

As for the total moment: 0.58 μB per cell.

(ii)
BaBe3Au: optimized geometry, PBE.

It has space group Pm-3m (No. 221), with a = 5.768 Å, b = 5.768 Å, c = 5.768 Å, α = 90.00°, β = 90.00° and γ = 90.00°. The inequivalent atoms are Ba at (0.000, 0.000, 0.000), Be at (0.000, 0.000, 0.500) and Au at (0.500, 0.500, 0.500).

As for the total moment: 0.00 μB per cell.

Of them, (ii) has the lowest stability.

(i)
BaBiAu3: optimized geometry, PBE.

It has space group Pm-3m (No. 221), with a = 5.526 Å, b = 5.526 Å, c = 5.526 Å, α = 90.00°, β = 90.00° and γ = 90.00°. The inequivalent atoms are Ba at (0.000, 0.000, 0.000), Bi at (0.500, 0.500, 0.500) and Au at (0.000, 0.500, 0.500).

As for the total moment: 0.00 μB per cell.

(ii)
BaBiAu3: optimized geometry, PBE.

It has space group C2/m (No. 12), with a = 12.487 Å, b = 6.874 Å, c = 6.388 Å, α = 90.00°, β = 92.47° and γ = 90.00°. The inequivalent atoms are Ba at (0.249, 0.000, 0.247), Bi at (0.000, 0.249, 0.500), Au at (0.000, 0.215, 0.000), Au at (0.132, 0.500, 0.230) and Au at (0.152, 0.000, 0.747).

As for the total moment: 0.00 μB per cell.

Of them, (i) has the lowest stability.

(i)
BaBiAu4: optimized geometry, PBE.

It has space group Immm (No. 71), with a = 4.393 Å, b = 7.859 Å, c = 9.026 Å, α = 90.00°, β = 90.00° and γ = 90.00°. The inequivalent atoms are Ba at (0.000, 0.000, 0.000), Bi at (0.000, 0.500, 0.000) and Au at (0.000, 0.204, 0.338).

As for the total moment: 0.00 μB per cell.

(ii)
BaBiAu4: optimized geometry, PBE.

It has space group Cm (No. 8), with a = 9.364 Å, b = 7.694 Å, c = 5.398 Å, α = 90.00°, β = 124.78° and γ = 90.00°. The inequivalent atoms are Ba at (0.000, 0.000, 0.000), Bi at (0.000, 0.500, 0.252), Au at (0.191, 0.191, 0.691) and Au at (0.309, 0.309, 0.309).

As for the total moment: 0.00 μB per cell.

(iii)
BaBiAu4: optimized geometry, PBE.

It has space group F-43m (No. 216), with a = 8.295 Å, b = 8.295 Å, c = 8.295 Å, α = 90.00°, β = 90.00° and γ = 90.00°. The inequivalent atoms are Ba at (0.000, 0.000, 0.000), Bi at (0.250, 0.250, 0.250) and Au at (0.125, 0.125, 0.625).

As for the total moment: 0.00 μB per cell.

Of them, (ii) has the lowest stability.

(i)
Ba2Bi5Au3: optimized geometry, PBE.

It has space group C2/c (No. 15), with a = 13.457 Å, b = 15.988 Å, c = 7.097 Å, α = 90.00°, β = 121.75° and γ = 90.00°. The inequivalent atoms are Ba at (0.231, 0.117, 0.231), Bi at (0.000, 0.283, 0.750), Bi at (0.000, 0.284, 0.250), Bi at (0.000, 0.500, 0.250), Bi at (0.108, 0.122, 0.609), Au at (0.000, 0.001, 0.250) and Au at (0.149, 0.396, 0.148).

As for the total moment: 0.00 μB per cell.

(ii)
Ba2Bi5Au3: optimized geometry, PBE.

It has space group P-4m2 (No. 115), with a = 4.869 Å, b = 4.869 Å, c = 13.716 Å, α = 90.00°, β = 90.00° and γ = 90.00°. The inequivalent atoms are Ba at (0.000, 0.500, 0.206), Bi at (0.000, 0.000, 0.500), Bi at (0.000, 0.500, 0.676), Bi at (0.500, 0.500, 0.000), Bi at (0.500, 0.500, 0.500), Au at (0.000, 0.000, 0.000) and Au at (0.000, 0.500, 0.882).

As for the total moment: 0.00 μB per cell.

Of them, (ii) has the lowest stability.